Entry 1:
# LiAgBr2 | the Alexandria database | meta-GGA SCAN | PBEsol geometry
# Energy relative to the lowest polymorph listed for this composition in meV per atom: 61
# Formation energy (no corrections) in eV/f.u.: -3.9
data_LiAgBr2
_cell_length_a 3.837
_cell_length_b 3.811
_cell_length_c 13.469
_cell_angle_alpha 90.00
_cell_angle_beta 90.00
_cell_angle_gamma 90.00
_symmetry_space_group_name_H-M 'A m m 2'
_symmetry_Int_Tables_number 38
_symmetry_space_group_name_Hall 'A 2 -2'
loop_
_atom_site_label
_atom_site_fract_x
_atom_site_fract_y
_atom_site_fract_z
Li1 0.000 0.000 0.000
Ag1 0.500 0.000 0.337
Br1 0.000 0.000 0.800
Br2 0.500 0.000 0.538



Entry 2:
# Zr2AlCoC | the Alexandria database | meta-GGA SCAN | PBEsol geometry
# ΔE_f in kcal/mol of atoms: -9.35
data_Zr2AlCoC
_cell_length_a 4.505
_cell_length_b 4.505
_cell_length_c 3.741
_cell_angle_alpha 90.00
_cell_angle_beta 90.00
_cell_angle_gamma 90.00
_symmetry_space_group_name_H-M 'P 4/m m m'
_symmetry_Int_Tables_number 123
_symmetry_space_group_name_Hall '-P 4 2'
loop_
_atom_site_label
_atom_site_fract_x
_atom_site_fract_y
_atom_site_fract_z
Zr1 0.000 0.500 0.000
Al1 0.000 0.000 0.500
Co1 0.500 0.500 0.500
C1 0.500 0.500 0.000